# CaAlCu | Alexandria via LeMat-Bulk | meta-GGA SCAN | single point on PBEsol structure
# Crystal system: hexagonal
data_CaAlCu
_symmetry_space_group_name_H-M 'P -6 m 2'
_symmetry_Int_Tables_number 187
_symmetry_space_group_name_Hall 'P -6 2'
_cell_length_a 4.3173
_cell_length_b 4.3173
_cell_length_c 3.8490
_cell_angle_alpha 90.00
_cell_angle_beta 90.00
_cell_angle_gamma 120.00
loop_
_atom_site_label
_atom_site_type_symbol
_atom_site_fract_x
_atom_site_fract_y
_atom_site_fract_z
Ca1 Ca 0.0000 0.0000 0.0000
Al1 Al 0.6667 0.3333 0.5000
Cu1 Cu 0.3333 0.6667 0.5000



# ReAgAu2 | Alexandria via LeMat-Bulk | meta-GGA SCAN | single point on PBEsol structure
# Crystal system: tetragonal
data_ReAgAu2
_symmetry_space_group_name_H-M 'P 4/m m m'
_symmetry_Int_Tables_number 123
_symmetry_space_group_name_Hall '-P 4 2'
_cell_length_a 2.745
_cell_length_b 2.745
_cell_length_c 8.496
_cell_angle_alpha 90.00
_cell_angle_beta 90.00
_cell_angle_gamma 90.00
loop_
_atom_site_label
_atom_site_type_symbol
_atom_site_fract_x
_atom_site_fract_y
_atom_site_fract_z
Re1 Re 0.000 0.000 0.000
Ag1 Ag 0.000 0.000 0.500
Au1 Au 0.500 0.500 0.242



# NaCu2Pd2 | Alexandria via LeMat-Bulk | meta-GGA SCAN | single point on PBEsol structure
# Crystal system: tetragonal
data_NaCu2Pd2
_symmetry_space_group_name_H-M 'P 4/m b m'
_symmetry_Int_Tables_number 127
_symmetry_space_group_name_Hall '-P 4 2ab'
_cell_length_a 7.442
_cell_length_b 7.442
_cell_length_c 2.704
_cell_angle_alpha 90.00
_cell_angle_beta 90.00
_cell_angle_gamma 90.00
loop_
_atom_site_label
_atom_site_type_symbol
_atom_site_fract_x
_atom_site_fract_y
_atom_site_fract_z
Na1 Na 0.000 0.000 0.000
Cu1 Cu 0.163 0.337 0.500
Pd1 Pd 0.132 0.632 0.000



Number 1: calculated formation energy -0.20 eV/atom, total magnetization 0.013 μB per atom. Number 2: calculated formation energy 0.31 eV/atom, total magnetization 0.000 μB per atom. Number 3: calculated formation energy -0.05 eV/atom, total magnetization 0.000 μB per atom.